1.
Entry from Alexandria: a relaxed ErThCo crystal (PBE).

Lattice parameters (Å, degrees): 5.7318 4.1185 6.9234 90.00 111.70 90.00
Fractional positions:
Er (0.0461, 0.2500, 0.3074)
Er (0.9539, 0.7500, 0.6926)
Th (0.4851, 0.7500, 0.2020)
Th (0.5149, 0.2500, 0.7980)
Co (0.3620, 0.7500, 0.5444)
Co (0.6380, 0.2500, 0.4556)

Calculated values
Total DFT energy (no corrections) (eV/atom): -6.6163
Mass density (g cm⁻³): 10.02

=====

2.
Entry from Alexandria: a relaxed Rb2SmPaTe4 crystal (PBE).

Lattice parameters (Å, degrees): 7.8679 4.5131 9.0453 90.00 106.63 90.00
Fractional positions:
Rb (0.0000, 0.0000, 0.0000)
Rb (0.5000, 0.5000, 0.0000)
Sm (0.0000, 0.5000, 0.5000)
Pa (0.5000, 0.0000, 0.5000)
Te (0.2387, 0.0000, 0.7048)
Te (0.2675, 0.5000, 0.2952)
Te (0.7325, 0.5000, 0.7048)
Te (0.7613, 0.0000, 0.2952)

Calculated values
Mass density (g cm⁻³): 5.73
Uncorrected formation energy (eV/atom): -1.14

=====

3.
Entry from Alexandria: a relaxed Ce6GeAs5 crystal (PBE).

Lattice parameters (Å, degrees): 7.3098 7.3098 7.3094 99.59 99.59 120.00
Fractional positions:
Ce (0.0824, 0.4167, 0.7500)
Ce (0.2492, 0.2492, 0.2505)
Ce (0.4167, 0.0824, 0.7500)
Ce (0.5833, 0.9176, 0.2500)
Ce (0.7508, 0.7508, 0.7495)
Ce (0.9176, 0.5833, 0.2500)
Ge (0.5000, 0.5000, 0.0000)
As (0.0000, 0.0000, 0.5000)
As (0.1666, 0.8334, 0.0000)
As (0.3330, 0.6670, 0.5000)
As (0.6670, 0.3330, 0.5000)
As (0.8334, 0.1666, 0.0000)

Calculated values
Total DFT energy (no corrections) (eV/atom): -6.5876
Mass density (g cm⁻³): 6.71

=====

4.
Entry from Alexandria: a relaxed CsOF3 crystal (PBE).

Lattice parameters (Å, degrees): 5.4973 5.4973 7.1002 90.00 90.00 120.00
Fractional positions:
Cs (0.3333, 0.6667, 0.2500)
Cs (0.6667, 0.3333, 0.7500)
O (0.0000, 0.0000, 0.0000)
O (0.0000, 0.0000, 0.5000)
F (0.0000, 0.0000, 0.2500)
F (0.0000, 0.0000, 0.7500)
F (0.3333, 0.6667, 0.6221)
F (0.3333, 0.6667, 0.8779)
F (0.6667, 0.3333, 0.1221)
F (0.6667, 0.3333, 0.3779)

Calculated values
Mass density (g cm⁻³): 3.68
Uncorrected formation energy (eV/atom): -0.68

=====

| no. | volume (Å³/cell) |
| --- | --- |
| 1 | 151.9 |
| 2 | 307.8 |
| 3 | 318.9 |
| 4 | 185.8 |